Record 1
# Sr2LiCu

Crystalline Sr2LiCu at its relaxed geometry (PBE-GGA, Alexandria via LeMat-Bulk).

For the formation energy, the calculation gives 0.220 eV per atom.

The structure belongs to space group I-42d (No. 122); the cell edges are 8.706, 8.706 and 7.591 Å and the angles 90.00°, 90.00° and 90.00°. The distinct sites, in fractional coordinates, are Sr at (0.208, 0.250, 0.125), Li at (0.000, 0.000, 0.500) and Cu at (0.000, 0.000, 0.000).

***

Record 2
# SrLiCu4

Crystalline SrLiCu4 at its relaxed geometry (PBE-GGA, Alexandria via LeMat-Bulk).

For the formation energy, the calculation gives -0.021 eV per atom.

The structure belongs to space group F-43m (No. 216); the cell edges are 7.385, 7.385 and 7.385 Å and the angles 90.00°, 90.00° and 90.00°. The distinct sites, in fractional coordinates, are Sr at (0.000, 0.000, 0.000), Li at (0.250, 0.250, 0.750) and Cu at (0.123, 0.123, 0.377).

***

Record 3
# Sr2Li5Cu12

Crystalline Sr2Li5Cu12 at its relaxed geometry (PBE-GGA, Alexandria via LeMat-Bulk).

For the formation energy, the calculation gives -0.043 eV per atom.

The structure belongs to space group R-3m (No. 166, hexagonal axes); the cell edges are 8.8691, 8.8691 and 12.6887 Å and the angles 90.00°, 90.00° and 120.00°. The distinct sites, in fractional coordinates, are Sr at (0.0000, 0.0000, 0.1519), Li at (0.0000, 0.0000, 0.4097), Li at (0.0000, 0.5000, 0.0000), Cu at (0.0000, 0.2970, 0.5000) and Cu at (0.0004, 0.5002, 0.3399).

***

Record 4
# SrLi3Cu3

Crystalline SrLi3Cu3 at its relaxed geometry (PBE-GGA, Alexandria via LeMat-Bulk).

For the formation energy, the calculation gives 0.274 eV per atom.

The structure belongs to space group Pm-3n (No. 223); the cell edges are 6.673, 6.673 and 6.673 Å and the angles 90.00°, 90.00° and 90.00°. The distinct sites, in fractional coordinates, are Sr at (0.000, 0.000, 0.000), Li at (0.000, 0.250, 0.500) and Cu at (0.000, 0.500, 0.250).

***

Record 5
# SrLi2Cu

Crystalline SrLi2Cu at its relaxed geometry (PBE-GGA, Alexandria via LeMat-Bulk).

Its excess energy over the best structure of this formula in the dataset is 0.000 kcal/mol of atoms. For the formation energy, the calculation gives 0.001 eV per atom.

The structure belongs to space group C2/c (No. 15); the cell edges are 5.970, 13.976 and 5.203 Å and the angles 90.00°, 117.25° and 90.00°. The distinct sites, in fractional coordinates, are Sr at (0.000, 0.099, 0.250), Li at (0.132, 0.335, 0.065) and Cu at (0.000, 0.500, 0.250).

***

Record 6
# SrLiCu

Crystalline SrLiCu at its relaxed geometry (PBE-GGA, Alexandria via LeMat-Bulk).

Its excess energy over the best structure of this formula in the dataset is 0.000 kcal/mol of atoms. For the formation energy, the calculation gives -0.041 eV per atom.

The structure belongs to space group P-1 (No. 2); the cell edges are 4.285, 5.864 and 6.869 Å and the angles 78.19°, 72.06° and 89.97°. The distinct sites, in fractional coordinates, are Sr at (0.126, 0.311, 0.249), Li at (0.397, 0.206, 0.707) and Cu at (0.228, 0.883, 0.044).

***

Record 7
# SrLi2Cu

Crystalline SrLi2Cu at its relaxed geometry (PBE-GGA, Alexandria via LeMat-Bulk).

Its excess energy over the best structure of this formula in the dataset is 1.102 kcal/mol of atoms. For the formation energy, the calculation gives 0.048 eV per atom.

The structure belongs to space group Pm (No. 6); the cell edges are 3.963, 4.210 and 6.354 Å and the angles 90.00°, 104.85° and 90.00°. The distinct sites, in fractional coordinates, are Sr at (0.000, 0.000, 0.000), Li at (0.233, 0.500, 0.533), Li at (0.690, 0.000, 0.459) and Cu at (0.592, 0.500, 0.222).

***

Record 8
# Sr2Li3Cu2

Crystalline Sr2Li3Cu2 at its relaxed geometry (PBE-GGA, Alexandria via LeMat-Bulk).

For the formation energy, the calculation gives -0.015 eV per atom.

The structure belongs to space group C2/m (No. 12); the cell edges are 11.061, 4.375 and 7.372 Å and the angles 90.00°, 95.75° and 90.00°. The distinct sites, in fractional coordinates, are Sr at (0.132, 0.000, 0.344), Li at (0.000, 0.500, 0.000), Li at (0.167, 0.000, 0.862) and Cu at (0.073, 0.500, 0.646).

***

Record 9
# SrLi2Cu9

Crystalline SrLi2Cu9 at its relaxed geometry (PBE-GGA, Alexandria via LeMat-Bulk).

Its excess energy over the best structure of this formula in the dataset is 0.000 kcal/mol of atoms. For the formation energy, the calculation gives -0.066 eV per atom.

The structure belongs to space group P4/mbm (No. 127); the cell edges are 8.447, 8.447 and 4.974 Å and the angles 90.00°, 90.00° and 90.00°. The distinct sites, in fractional coordinates, are Sr at (0.000, 0.000, 0.000), Li at (0.115, 0.385, 0.000), Cu at (0.000, 0.500, 0.500), Cu at (0.065, 0.213, 0.500) and Cu at (0.179, 0.679, 0.246).

***

Record 10
# Sr2Li2Cu

Crystalline Sr2Li2Cu at its relaxed geometry (PBE-GGA, Alexandria via LeMat-Bulk).

Its excess energy over the best structure of this formula in the dataset is 0.000 kcal/mol of atoms. For the formation energy, the calculation gives 0.048 eV per atom.

The structure belongs to space group Immm (No. 71); the cell edges are 5.060, 5.424 and 10.609 Å and the angles 90.00°, 90.00° and 90.00°. The distinct sites, in fractional coordinates, are Sr at (0.000, 0.000, 0.184), Li at (0.000, 0.235, 0.500) and Cu at (0.000, 0.500, 0.000).

***

Record 11
# Sr4Li5Cu2

Crystalline Sr4Li5Cu2 at its relaxed geometry (PBE-GGA, Alexandria via LeMat-Bulk).

For the formation energy, the calculation gives 0.021 eV per atom.

The structure belongs to space group P2/m (No. 10); the cell edges are 7.618, 4.765 and 9.061 Å and the angles 90.00°, 90.01° and 90.00°. The distinct sites, in fractional coordinates, are Sr at (0.220, 0.000, 0.148), Sr at (0.232, 0.000, 0.602), Li at (0.129, 0.500, 0.860), Li at (0.438, 0.500, 0.345), Li at (0.500, 0.500, 0.000) and Cu at (0.082, 0.500, 0.382).

***

Record 12
# Sr2Li2Cu

Crystalline Sr2Li2Cu at its relaxed geometry (PBE-GGA, Alexandria via LeMat-Bulk).

Its excess energy over the best structure of this formula in the dataset is 0.309 kcal/mol of atoms. For the formation energy, the calculation gives 0.062 eV per atom.

The structure belongs to space group I4/mmm (No. 139); the cell edges are 3.882, 3.882 and 19.580 Å and the angles 90.00°, 90.00° and 90.00°. The distinct sites, in fractional coordinates, are Sr at (0.000, 0.000, 0.093), Li at (0.000, 0.500, 0.250) and Cu at (0.000, 0.000, 0.500).

***

Which V belongs to each record? In order, 36.0, 16.8, 15.2, 21.2, 24.1, 26.7, 25.6, 25.4, 14.8, 29.1, 29.9, 29.5 A^3/atom.
Which VASP energy belongs to each record? In order, -33.97, -80.44, -188.69, -35.59, -38.41, -15.63, -9.41, -34.81, -86.32, -22.09, -24.26, -21.96 eV for the cell shown.